The following is a GGA-PBE calculation of a relaxed structure of CaRuPb3, from Alexandria.

As for the energy above the most stable polymorph in this dataset: 0.0 meV/atom. The value obtained for the energy of formation from the pure elements is 0.159 eV per atom. Its calculated density is 8.39 g cm⁻³.

It has space group Pm-3m (No. 221), with a = 5.3252 Å, b = 5.3252 Å, c = 5.3252 Å, α = 90.00°, β = 90.00° and γ = 90.00°. The distinct sites, in fractional coordinates, are Ca at (0.0000, 0.0000, 0.0000), Ru at (0.5000, 0.5000, 0.5000) and Pb at (0.0000, 0.5000, 0.5000).